1.
Below is a geometry-optimized FeAsRuBr2 structure, with properties calculated at the PBEsol level.

The structure in POSCAR format:
```
FeAsRuBr2
1.0
5.050 0.000 0.000
0.000 5.050 0.000
0.000 0.000 4.590
Fe As Ru Br
1 1 1 2
Cartesian
0.000 0.000 0.000
2.525 2.525 0.000
2.525 2.525 2.295
0.000 2.525 2.295
2.525 0.000 2.295
```

Output
- E_form (uncorrected): 0.8825 eV/atom
- SG: P4/mmm (123)



2.
Below is a geometry-optimized Al5Ag7 structure, with properties calculated at the PBEsol level.

The structure in POSCAR format:
```
Al5Ag7
1.0
5.524 0.000 0.000
0.046 5.885 0.000
1.345 1.465 5.948
Al Ag
5 7
Cartesian
0.000 0.000 0.000
1.440 1.486 1.950
1.476 4.402 1.944
5.440 2.948 4.003
5.476 5.864 3.998
0.023 2.943 0.000
2.660 5.900 3.914
2.647 2.922 3.910
2.762 0.000 0.000
2.785 2.943 0.000
4.268 4.427 2.038
4.256 1.450 2.034
```

Output
- ΔH_f (0 K): -0.081 eV per atom
- SG: P-1 (2)



Number 1: spin magnetization 3.85 μB per formula unit, electronic total energy -4.714 eV/atom. Number 2: spin magnetization 0.00 μB per formula unit, electronic total energy -3.717 eV/atom.